(1)
Here is a relaxed CsInSe2O10 crystal from the Alexandria database. Energies are from PBE.

a b c (Å): 8.6384 8.6384 7.7718
angles (deg): 100.42 100.42 113.52
Positions (direct):
Cs 0.1252 0.8748 0.7500
Cs 0.8748 0.1252 0.2500
In 0.3351 0.6649 0.2500
In 0.6649 0.3351 0.7500
Se 0.1147 0.3968 0.8178
Se 0.3968 0.1147 0.3178
Se 0.6032 0.8853 0.6822
Se 0.8853 0.6032 0.1822
O 0.0727 0.6044 0.2944
O 0.0744 0.2543 0.9442
O 0.2034 0.3517 0.6527
O 0.2343 0.3832 0.2338
O 0.2450 0.6038 0.9543
O 0.2543 0.0744 0.4442
O 0.3517 0.2034 0.1527
O 0.3832 0.2343 0.7338
O 0.3962 0.7550 0.5457
O 0.3956 0.9273 0.2056
O 0.6044 0.0727 0.7944
O 0.6038 0.2450 0.4543
O 0.6168 0.7657 0.2662
O 0.6483 0.7966 0.8473
O 0.7457 0.9256 0.5558
O 0.7550 0.3962 0.0457
O 0.7657 0.6168 0.7662
O 0.7966 0.6483 0.3473
O 0.9256 0.7457 0.0558
O 0.9273 0.3956 0.7056

Properties
Calculated total energy   -4.8411 eV/atom
Symmetry   No. 15

---

(2)
Here is a relaxed CsInSiO4 crystal from the Alexandria database. Energies are from PBE.

a b c (Å): 5.4497 5.8073 8.0705
angles (deg): 90.00 109.57 90.00
Positions (direct):
Cs 0.1938 0.2500 0.4326
Cs 0.8062 0.7500 0.5674
In 0.2953 0.2500 0.9659
In 0.7047 0.7500 0.0341
Si 0.2506 0.7500 0.1400
Si 0.7494 0.2500 0.8600
O 0.0346 0.7500 0.9413
O 0.0798 0.7500 0.2732
O 0.4609 0.5310 0.1605
O 0.4609 0.9690 0.1605
O 0.5391 0.0310 0.8395
O 0.5391 0.4690 0.8395
O 0.9202 0.2500 0.7268
O 0.9654 0.2500 0.0587

Properties
Calculated total energy   -6.2209 eV/atom
D(E_F)   0.00 states/eV/atom
Symmetry   No. 11

---

(3)
Here is a relaxed Cs2InSi2O6 crystal from the Alexandria database. Energies are from PBE.

a b c (Å): 6.9042 6.9042 6.9042
angles (deg): 50.95 50.95 50.95
Positions (direct):
Cs 0.2166 0.2166 0.2166
Cs 0.7834 0.7834 0.7834
In 0.0000 0.0000 0.0000
Si 0.4190 0.4190 0.4190
Si 0.5810 0.5810 0.5810
O 0.2486 0.2486 0.7145
O 0.2486 0.7145 0.2486
O 0.2855 0.7514 0.7514
O 0.7145 0.2486 0.2486
O 0.7514 0.2855 0.7514
O 0.7514 0.7514 0.2855

Properties
Calculated total energy   -6.0662 eV/atom
D(E_F)   0.14 states/eV/atom
Symmetry   No. 166

---

(4)
Here is a relaxed Cs2SmInO4 crystal from the Alexandria database. Energies are from PBE.

a b c (Å): 13.3370 11.8485 7.4530
angles (deg): 84.13 62.10 33.77
Positions (direct):
Cs 0.0607 0.0607 0.6893
Cs 0.3107 0.3107 0.9393
Cs 0.6893 0.6893 0.0607
Cs 0.9393 0.9393 0.3107
Sm 0.1250 0.1250 0.1250
Sm 0.8750 0.8750 0.8750
In 0.3750 0.3750 0.3750
In 0.6250 0.6250 0.6250
O 0.0039 0.6634 0.5644
O 0.2683 0.5644 0.6634
O 0.3366 0.9961 0.7317
O 0.4356 0.7317 0.9961
O 0.5644 0.2683 0.0039
O 0.6634 0.0039 0.2683
O 0.7317 0.4356 0.3366
O 0.9961 0.3366 0.4356

Properties
Calculated total energy   -5.3545 eV/atom
D(E_F)   0.00 states/eV/atom
Symmetry   No. 70

---

Number 1: formation energy (no corrections) -0.545 eV/atom, total magnetic moment 4.092 μB/f.u., V 17.93 Å³ per atom. Number 2: formation energy (no corrections) -2.100 eV/atom, total magnetic moment 0.000 μB/f.u., V 17.19 Å³ per atom. Number 3: formation energy (no corrections) -1.972 eV/atom, total magnetic moment 0.621 μB/f.u., V 16.64 Å³ per atom. Number 4: formation energy (no corrections) -1.730 eV/atom, total magnetic moment 0.000 μB/f.u., V 29.36 Å³ per atom.